Record 1
{
  "formula": "FeNiIr2O",
  "functional": "PBE with a Hubbard U",
  "state": "relaxed",
  "lattice_angstrom": [[4.567, 0.000, 0.000], [0.000, 4.455, 0.000], [0.000, 0.000, 4.567]],
  "species": ["Ni", "Ir", "Ir", "Fe", "O"],
  "frac_coords": [[0.000, 0.500, 0.000], [0.000, 0.000, 0.500], [0.500, 0.000, 0.000], [0.000, 0.000, 0.000], [0.500, 0.500, 0.500]],
  "e_tot_ev_per_cell": -19.782,
  "sg": "P4/mmm",
  "crystal_system": "tetragonal"
}

=====

Record 2
{
  "formula": "NaBeMoF6",
  "functional": "PBE with a Hubbard U",
  "state": "relaxed",
  "lattice_angstrom": [[-4.395, -2.191, -1.642], [4.029, 0.450, -3.221], [3.256, -8.674, 2.861]],
  "species": ["Na", "Na", "Be", "Be", "Mo", "Mo", "F", "F", "F", "F", "F", "F", "F", "F", "F", "F", "F", "F"],
  "frac_coords": [[0.000, 0.000, 0.000], [0.000, 0.000, 0.500], [0.667, 0.333, 0.250], [0.333, 0.667, 0.750], [0.333, 0.667, 0.250], [0.667, 0.333, 0.750], [0.662, 0.617, 0.146], [0.955, 0.338, 0.146], [0.338, 0.955, 0.646], [0.045, 0.662, 0.854], [0.383, 0.338, 0.354], [0.955, 0.617, 0.354], [0.617, 0.955, 0.854], [0.662, 0.045, 0.354], [0.045, 0.383, 0.646], [0.383, 0.045, 0.146], [0.617, 0.662, 0.646], [0.338, 0.383, 0.854]],
  "e_tot_ev_per_cell": -96.281,
  "sg": "P-31c",
  "crystal_system": "trigonal"
}